Version w
## LaYPt2 (PBE)

Data for an optimized crystal structure of LaYPt2.

Unit cell a=4.6081 b=5.7268 c=5.7268 alpha=39.25 beta=90.00 gamma=90.00
Positions (direct):
1 La 0.0000 0.0000 0.0000
2 Y 0.5000 0.2735 0.2735
3 Pt 0.0000 0.7282 0.7282
4 Pt 0.5000 0.5504 0.5504

Summary:
SG: Amm2 (38)
Crystal system: orthorhombic

Version x
## LaYPt2 (PBE)

Data for an optimized crystal structure of LaYPt2.

Unit cell a=4.9148 b=4.9148 c=4.9148 alpha=60.00 beta=60.00 gamma=60.00
Positions (direct):
1 La 0.0000 0.0000 0.0000
2 Y 0.2500 0.2500 0.2500
3 Pt 0.5000 0.5000 0.5000
4 Pt 0.7500 0.7500 0.7500

Summary:
SG: F-43m (216)
Crystal system: cubic

Version y
## LaYPt2 (PBE)

Data for an optimized crystal structure of LaYPt2.

Unit cell a=4.1705 b=4.1705 c=5.8887 alpha=90.00 beta=90.00 gamma=90.00
Positions (direct):
1 La 0.0000 0.0000 0.0000
2 Y 0.5000 0.5000 0.5000
3 Pt 0.0000 0.0000 0.5000
4 Pt 0.5000 0.5000 0.0000

Summary:
SG: P4/mmm (123)
Crystal system: tetragonal

Version z
## LaYPt2 (PBE)

Data for an optimized crystal structure of LaYPt2.

Unit cell a=7.7479 b=7.7479 c=7.7479 alpha=32.43 beta=32.43 gamma=32.43
Positions (direct):
1 La 0.0000 0.0000 0.0000
2 Y 0.1742 0.1742 0.1742
3 Pt 0.4493 0.4493 0.4493
4 Pt 0.7332 0.7332 0.7332

Summary:
SG: R3m (160)
Crystal system: trigonal

Winner for stability: version w

Version w
## La3YPt (PBE)

Data for an optimized crystal structure of La3YPt.

Unit cell a=5.7457 b=5.7457 c=5.7457 alpha=90.00 beta=90.00 gamma=90.00
Positions (direct):
1 La 0.0000 0.0000 0.5000
2 La 0.0000 0.5000 0.0000
3 La 0.5000 0.0000 0.0000
4 Y 0.5000 0.5000 0.5000
5 Pt 0.0000 0.0000 0.0000

Summary:
SG: Pm-3m (221)
Crystal system: cubic

Version x
## La3YPt (PBE)

Data for an optimized crystal structure of La3YPt.

Unit cell a=5.6291 b=5.6291 c=5.6291 alpha=90.00 beta=90.00 gamma=90.00
Positions (direct):
1 La 0.0000 0.0000 0.5000
2 La 0.0000 0.5000 0.0000
3 La 0.5000 0.0000 0.0000
4 Y 0.0000 0.0000 0.0000
5 Pt 0.5000 0.5000 0.5000

Summary:
SG: Pm-3m (221)
Crystal system: cubic

Winner for stability: version w

Version w
## LaY3Pt (PBE)

Data for an optimized crystal structure of LaY3Pt.

Unit cell a=5.5205 b=5.5205 c=5.5205 alpha=90.00 beta=90.00 gamma=90.00
Positions (direct):
1 La 0.0000 0.0000 0.0000
2 Y 0.0000 0.5000 0.5000
3 Y 0.5000 0.0000 0.5000
4 Y 0.5000 0.5000 0.0000
5 Pt 0.5000 0.5000 0.5000

Summary:
SG: Pm-3m (221)
Crystal system: cubic

Version x
## LaY3Pt (PBE)

Data for an optimized crystal structure of LaY3Pt.

Unit cell a=5.4136 b=5.4136 c=5.4136 alpha=90.00 beta=90.00 gamma=90.00
Positions (direct):
1 La 0.0000 0.0000 0.0000
2 Y 0.0000 0.0000 0.5000
3 Y 0.0000 0.5000 0.0000
4 Y 0.5000 0.0000 0.0000
5 Pt 0.5000 0.5000 0.5000

Summary:
SG: Pm-3m (221)
Crystal system: cubic

Winner for stability: version w